Record 1
Entry from Alexandria via LeMat-Bulk: a relaxed CdPtCl6 crystal (PBE-GGA).

Cell: 6.394 11.567 6.360 Å, 90.00 109.17 90.00°
Sites, in units of the cell vectors:
Cd 0.000 0.000 0.000
Cd 0.500 0.500 0.000
Pt 0.000 0.500 0.500
Pt 0.500 0.000 0.500
Cl 0.225 0.358 0.728
Cl 0.225 0.642 0.728
Cl 0.228 0.500 0.275
Cl 0.272 0.000 0.725
Cl 0.275 0.142 0.272
Cl 0.275 0.858 0.272
Cl 0.725 0.142 0.728
Cl 0.725 0.858 0.728
Cl 0.728 0.000 0.275
Cl 0.772 0.500 0.725
Cl 0.775 0.358 0.272
Cl 0.775 0.642 0.272

Output
Raw formation energy (eV/atom): -0.627
Mass density (g/cm3): 3.89
E above lowest polymorph (meV/atom): 0
Total DFT energy (no corrections) (eV/cell): -46.10



Record 2
Entry from Alexandria via LeMat-Bulk: a relaxed SrCoGePd crystal (PBE-GGA).

Cell: 3.906 3.906 10.846 Å, 90.00 90.00 90.00°
Sites, in units of the cell vectors:
Sr 0.250 0.250 0.226
Sr 0.750 0.750 0.774
Co 0.250 0.750 0.500
Co 0.750 0.250 0.500
Ge 0.250 0.250 0.616
Ge 0.750 0.750 0.384
Pd 0.250 0.750 0.000
Pd 0.750 0.250 0.000

Output
Mass density (g/cm3): 6.53
Formation energy from the elements (meV per atom): -376
Total DFT energy (no corrections) (eV/cell): -40.20
Fermi-level density of states (states/eV per atom): 0.40



Record 3
Entry from Alexandria via LeMat-Bulk: a relaxed ScTi2Cu6 crystal (PBE-GGA).

Cell: 5.040 5.040 5.040 Å, 94.75 94.75 94.75°
Sites, in units of the cell vectors:
Sc 0.000 0.000 0.000
Ti 0.345 0.345 0.345
Ti 0.655 0.655 0.655
Cu 0.167 0.500 0.833
Cu 0.167 0.833 0.500
Cu 0.500 0.167 0.833
Cu 0.500 0.833 0.167
Cu 0.833 0.167 0.500
Cu 0.833 0.500 0.167

Output
Mass density (g/cm3): 6.85
Formation energy from the elements (meV per atom): -105
Total DFT energy (no corrections) (eV/cell): -47.64
Fermi-level density of states (states/eV per atom): 0.88



Record 4
Entry from Alexandria via LeMat-Bulk: a relaxed Li2YW crystal (PBE-GGA).

Cell: 3.099 4.706 10.705 Å, 90.00 90.00 90.00°
Sites, in units of the cell vectors:
Li 0.000 0.000 0.225
Li 0.000 0.000 0.775
Li 0.500 0.500 0.225
Li 0.500 0.500 0.775
Y 0.000 0.500 0.500
Y 0.500 0.000 0.500
W 0.000 0.500 0.000
W 0.500 0.000 0.000

Output
Mass density (g/cm3): 6.10
Formation energy from the elements (meV per atom): 644
E above lowest polymorph (meV/atom): 190
Total DFT energy (no corrections) (eV/cell): -41.34
Fermi-level density of states (states/eV per atom): 0.98



Record 5
Entry from Alexandria via LeMat-Bulk: a relaxed Tb2GeTe4 crystal (PBE-GGA).

Cell: 15.943 4.359 7.643 Å, 90.00 117.27 90.00°
Sites, in units of the cell vectors:
Tb 0.238 0.000 0.223
Tb 0.262 0.500 0.777
Tb 0.738 0.500 0.223
Tb 0.762 0.000 0.777
Ge 0.000 0.500 0.500
Ge 0.500 0.000 0.500
Te 0.117 0.500 0.943
Te 0.129 0.000 0.475
Te 0.371 0.500 0.525
Te 0.383 0.000 0.057
Te 0.617 0.000 0.943
Te 0.629 0.500 0.475
Te 0.871 0.000 0.525
Te 0.883 0.500 0.057

Output
Raw formation energy (eV/atom): -0.989
Mass density (g/cm3): 6.34
Total DFT energy (no corrections) (eV/cell): -66.74



Record 6
Entry from Alexandria via LeMat-Bulk: a relaxed ZrBe2As crystal (PBE-GGA).

Cell: 6.252 6.252 6.252 Å, 90.00 90.00 90.00°
Sites, in units of the cell vectors:
Zr 0.000 0.000 0.000
Zr 0.000 0.500 0.500
Zr 0.500 0.000 0.500
Zr 0.500 0.500 0.000
Be 0.000 0.000 0.500
Be 0.000 0.500 0.000
Be 0.250 0.250 0.250
Be 0.250 0.750 0.750
Be 0.500 0.000 0.000
Be 0.500 0.500 0.500
Be 0.750 0.250 0.750
Be 0.750 0.750 0.250
As 0.250 0.250 0.750
As 0.250 0.750 0.250
As 0.750 0.250 0.250
As 0.750 0.750 0.750

Output
Mass density (g/cm3): 5.01
Formation energy from the elements (meV per atom): 305
Total DFT energy (no corrections) (eV/cell): -77.72
Fermi-level density of states (states/eV per atom): 1.09